Entry 1:
Compound: NbMoP2Cl
Source: Alexandria
Functional: PBE
Structure: optimized geometry

Unit cell a=4.6732 b=4.6732 c=4.7964 alpha=90.00 beta=90.00 gamma=90.00
With the nearest neighbours (Å) after each atom.
Fractional coordinates of all 5 atoms:
P: 0.0000 0.5000 0.0000  2 Mo 2.34
P: 0.5000 0.0000 0.0000  2 Mo 2.34
Mo: 0.0000 0.0000 0.0000  4 P 2.34, 2 Cl 2.40
Nb: 0.5000 0.5000 0.5000  4 Cl 3.30, 8 P 3.35
Cl: 0.0000 0.0000 0.5000  2 Mo 2.40

## Properties
Formation energy without anion corrections, eV per atom: 0.735
Excess energy over the best structure of this formula in the dataset, eV per atom: 0.0339
Electronic total energy, eV per atom: -5.979
Space-group type: No. 123
Magnetic moment, μB per cell: 3.64

---

Entry 2:
Compound: NbMoP2Cl
Source: Alexandria
Functional: PBE
Structure: optimized geometry

Unit cell a=4.8733 b=4.8733 c=4.7611 alpha=90.00 beta=90.00 gamma=90.00
With the nearest neighbours (Å) after each atom.
Fractional coordinates of all 5 atoms:
P: 0.0000 0.5000 0.0000  2 Nb 2.44
P: 0.5000 0.0000 0.0000  2 Nb 2.44
Mo: 0.5000 0.5000 0.5000  8 P 3.41, 4 Cl 3.45
Nb: 0.0000 0.0000 0.0000  2 Cl 2.38, 4 P 2.44
Cl: 0.0000 0.0000 0.5000  2 Nb 2.38

## Properties
Formation energy without anion corrections, eV per atom: 0.701
Excess energy over the best structure of this formula in the dataset, eV per atom: 0.0000
Electronic total energy, eV per atom: -6.013
Space-group type: No. 123
Magnetic moment, μB per cell: 4.33

---

Entry 3:
Compound: NbMoPt2Cl
Source: Alexandria
Functional: PBE
Structure: optimized geometry

Unit cell a=4.9721 b=4.6220 c=4.9721 alpha=90.00 beta=90.00 gamma=90.00
With the nearest neighbours (Å) after each atom.
Fractional coordinates of all 5 atoms:
Mo: 0.5000 0.5000 0.5000  8 Pt 3.39, 4 Cl 3.52
Nb: 0.0000 0.0000 0.0000  2 Cl 2.31, 4 Pt 2.49
Pt: 0.0000 0.0000 0.5000  2 Nb 2.49
Pt: 0.5000 0.0000 0.0000  2 Nb 2.49
Cl: 0.0000 0.5000 0.0000  2 Nb 2.31

## Properties
Formation energy without anion corrections, eV per atom: 0.931
Electronic total energy, eV per atom: -6.035
Space-group type: No. 123
Magnetic moment, μB per cell: 4.02

---

Entry 4:
Compound: NbMoRh2Cl
Source: Alexandria
Functional: PBE
Structure: optimized geometry

Unit cell a=4.7866 b=4.6613 c=4.7866 alpha=90.00 beta=90.00 gamma=90.00
With the nearest neighbours (Å) after each atom.
Fractional coordinates of all 5 atoms:
Mo: 0.5000 0.5000 0.5000  8 Rh 3.34, 4 Cl 3.38
Rh: 0.0000 0.0000 0.5000  2 Nb 2.39
Rh: 0.5000 0.0000 0.0000  2 Nb 2.39
Nb: 0.0000 0.0000 0.0000  2 Cl 2.33, 4 Rh 2.39
Cl: 0.0000 0.5000 0.0000  2 Nb 2.33

## Properties
Formation energy without anion corrections, eV per atom: 1.102
Electronic total energy, eV per atom: -6.388
Space-group type: No. 123
Magnetic moment, μB per cell: 3.91

---

Entry 5:
Compound: NbMoS2Cl
Source: Alexandria
Functional: PBE
Structure: optimized geometry

Unit cell a=4.6847 b=4.6847 c=4.7841 alpha=90.00 beta=90.00 gamma=90.00
With the nearest neighbours (Å) after each atom.
Fractional coordinates of all 5 atoms:
S: 0.0000 0.5000 0.0000  2 Mo 2.34
S: 0.5000 0.0000 0.0000  2 Mo 2.34
Mo: 0.0000 0.0000 0.0000  4 S 2.34, 2 Cl 2.39
Nb: 0.5000 0.5000 0.5000  4 Cl 3.31, 8 S 3.35
Cl: 0.0000 0.0000 0.5000  2 Mo 2.39

## Properties
Formation energy without anion corrections, eV per atom: 0.453
Excess energy over the best structure of this formula in the dataset, eV per atom: 0.1682
Electronic total energy, eV per atom: -5.748
Space-group type: No. 123
Magnetic moment, μB per cell: 3.97

---

Entry 6:
Compound: NbMoS2Cl
Source: Alexandria
Functional: PBE
Structure: optimized geometry

Unit cell a=4.8502 b=4.8502 c=4.8044 alpha=90.00 beta=90.00 gamma=90.00
With the nearest neighbours (Å) after each atom.
Fractional coordinates of all 5 atoms:
S: 0.0000 0.5000 0.0000  2 Nb 2.43
S: 0.5000 0.0000 0.0000  2 Nb 2.43
Mo: 0.5000 0.5000 0.5000  8 S 3.41, 4 Cl 3.43
Nb: 0.0000 0.0000 0.0000  2 Cl 2.40, 4 S 2.43
Cl: 0.0000 0.0000 0.5000  2 Nb 2.40

## Properties
Formation energy without anion corrections, eV per atom: 0.284
Excess energy over the best structure of this formula in the dataset, eV per atom: 0.0000
Electronic total energy, eV per atom: -5.916
Space-group type: No. 123
Magnetic moment, μB per cell: 4.70

---

Entry 7:
Compound: Nb2MoSCl
Source: Alexandria
Functional: PBE
Structure: optimized geometry

Unit cell a=4.6765 b=4.4419 c=4.6765 alpha=90.00 beta=90.00 gamma=90.00
With the nearest neighbours (Å) after each atom.
Fractional coordinates of all 5 atoms:
S: 0.0000 0.0000 0.0000  2 Mo 2.22, 4 Nb 2.34
Mo: 0.0000 0.5000 0.0000  2 S 2.22
Nb: 0.0000 0.0000 0.5000  2 S 2.34
Nb: 0.5000 0.0000 0.0000  2 S 2.34
Cl: 0.5000 0.5000 0.5000  8 Nb 3.22, 4 Mo 3.31

## Properties
Formation energy without anion corrections, eV per atom: 0.640
Electronic total energy, eV per atom: -6.749
Space-group type: No. 123
Magnetic moment, μB per cell: 0.00

---

Entry 8:
Compound: NbMoSCl2
Source: Alexandria
Functional: PBE
Structure: optimized geometry

Unit cell a=4.9148 b=4.9148 c=4.5924 alpha=90.00 beta=90.00 gamma=90.00
With the nearest neighbours (Å) after each atom.
Fractional coordinates of all 5 atoms:
S: 0.0000 0.0000 0.5000  2 Mo 2.30
Mo: 0.0000 0.0000 0.0000  2 S 2.30, 4 Cl 2.46
Nb: 0.5000 0.5000 0.5000  8 Cl 3.36, 4 S 3.48
Cl: 0.0000 0.5000 0.0000  2 Mo 2.46
Cl: 0.5000 0.0000 0.0000  2 Mo 2.46

## Properties
Formation energy without anion corrections, eV per atom: 0.529
Excess energy over the best structure of this formula in the dataset, eV per atom: 0.2349
Electronic total energy, eV per atom: -5.215
Space-group type: No. 123
Magnetic moment, μB per cell: 2.71

---

Entry 9:
Compound: NbMoSCl2
Source: Alexandria
Functional: PBE
Structure: optimized geometry

Unit cell a=4.9084 b=4.9084 c=4.8595 alpha=90.00 beta=90.00 gamma=90.00
With the nearest neighbours (Å) after each atom.
Fractional coordinates of all 5 atoms:
S: 0.0000 0.0000 0.5000  2 Nb 2.43
Mo: 0.5000 0.5000 0.5000  8 Cl 3.45, 4 S 3.47
Nb: 0.0000 0.0000 0.0000  2 S 2.43, 4 Cl 2.45
Cl: 0.0000 0.5000 0.0000  2 Nb 2.45
Cl: 0.5000 0.0000 0.0000  2 Nb 2.45

## Properties
Formation energy without anion corrections, eV per atom: 0.294
Excess energy over the best structure of this formula in the dataset, eV per atom: 0.0000
Electronic total energy, eV per atom: -5.450
Space-group type: No. 123
Magnetic moment, μB per cell: 5.51

---

Entry 10:
Compound: Nb2MoWCl
Source: Alexandria
Functional: PBE
Structure: optimized geometry

Unit cell a=5.0020 b=4.4710 c=5.0020 alpha=90.00 beta=90.00 gamma=90.00
With the nearest neighbours (Å) after each atom.
Fractional coordinates of all 5 atoms:
Mo: 0.5000 0.5000 0.5000  8 Nb 3.35, 4 Cl 3.54
Nb: 0.0000 0.0000 0.5000  2 W 2.50
Nb: 0.5000 0.0000 0.0000  2 W 2.50
W: 0.0000 0.0000 0.0000  2 Cl 2.24, 4 Nb 2.50
Cl: 0.0000 0.5000 0.0000  2 W 2.24

## Properties
Formation energy without anion corrections, eV per atom: 1.775
Electronic total energy, eV per atom: -7.379
Space-group type: No. 123
Magnetic moment, μB per cell: 1.16